#A
DFT (GGA-PBE) results for an optimized crystal structure of Sr2CaAl2.

crystal system	tetragonal
ρ	2.61	g/cm3

Lattice parameters (Å, degrees): 8.854 8.854 4.367 90.00 90.00 90.00
Space group P4/mbm (No. 127)
One atom of each set of equivalent atoms:
Sr (0.179, 0.321, 0.000) x4
Ca (0.000, 0.000, 0.500) x2
Al (0.111, 0.611, 0.500) x4

***

#B
DFT (GGA-PBE) results for an optimized crystal structure of Sr2CaAl2.

crystal system	tetragonal
ρ	2.52	g/cm3

Lattice parameters (Å, degrees): 5.028 5.028 14.041 90.00 90.00 90.00
Space group I4/mmm (No. 139)
One atom of each set of equivalent atoms:
Sr (0.000, 0.500, 0.250) x4
Ca (0.000, 0.000, 0.000) x2
Al (0.000, 0.000, 0.410) x4

***

#C
DFT (GGA-PBE) results for an optimized crystal structure of Sr2CaAl2.

crystal system	tetragonal
ρ	2.74	g/cm3

Lattice parameters (Å, degrees): 9.524 9.524 3.604 90.00 90.00 90.00
Space group P4/mbm (No. 127)
One atom of each set of equivalent atoms:
Sr (0.131, 0.369, 0.000) x4
Ca (0.000, 0.000, 0.000) x2
Al (0.167, 0.667, 0.500) x4

***

Result of the stability comparison: #A is the most stable of them.

***

#A
DFT (GGA-PBE) results for an optimized crystal structure of CaTaAl2.

crystal system	tetragonal
ρ	5.73	g/cm3

Lattice parameters (Å, degrees): 2.969 2.969 9.043 90.00 90.00 90.00
Space group P4mm (No. 99)
One atom of each set of equivalent atoms:
Ca (0.000, 0.000, 0.000) x1
Ta (0.500, 0.500, 0.301) x1
Al (0.000, 0.000, 0.510) x1
Al (0.500, 0.500, 0.727) x1

***

#B
DFT (GGA-PBE) results for an optimized crystal structure of CaTaAl2.

crystal system	tetragonal
ρ	5.90	g/cm3

Lattice parameters (Å, degrees): 5.090 5.090 2.987 90.00 90.00 90.00
Space group P4/mmm (No. 123)
One atom of each set of equivalent atoms:
Ca (0.000, 0.000, 0.000) x1
Ta (0.500, 0.500, 0.000) x1
Al (0.000, 0.500, 0.500) x2

***

Result of the stability comparison: #B is the most stable of them.